Entry 1:
A plane-wave DFT calculation with PBE was carried out for a geometry-optimized KCeCuF6 structure.

Geometry as CIF:
```
data_KCeCuF6
_chemical_formula_sum 'K2 Ce2 Cu2 F12'
_symmetry_space_group_name_H-M 'P -3 1 c'
_symmetry_Int_Tables_number 163
_symmetry_space_group_name_Hall '-P 3 2c'
_cell_length_a 5.8484
_cell_length_b 5.8484
_cell_length_c 11.1953
_cell_angle_alpha 90.00
_cell_angle_beta 90.00
_cell_angle_gamma 120.00
loop_
_atom_site_label
_atom_site_fract_x
_atom_site_fract_y
_atom_site_fract_z
K1 0.0000 0.0000 0.0000
Ce1 0.3333 0.6667 0.2500
Cu1 0.3333 0.6667 0.7500
F1 0.0067 0.3696 0.6447
```

Calculated values
For the total energy, the calculation gives -97.68 eV for the cell shown. Its density of states at the Fermi level is 19.64 states/eV per cell.

---

Entry 2:
A plane-wave DFT calculation with PBE was carried out for a geometry-optimized K2CeCu3F12 structure.

Geometry as CIF:
```
data_K2CeCu3F12
_chemical_formula_sum 'K6 Ce3 Cu9 F36'
_symmetry_space_group_name_H-M 'R -3 m'
_symmetry_Int_Tables_number 166
_symmetry_space_group_name_Hall '-R 3 2"'
_cell_length_a 7.2844
_cell_length_b 7.2844
_cell_length_c 18.1193
_cell_angle_alpha 90.00
_cell_angle_beta 90.00
_cell_angle_gamma 120.00
loop_
_atom_site_label
_atom_site_fract_x
_atom_site_fract_y
_atom_site_fract_z
K1 0.0000 0.0000 0.1138
Ce1 0.0000 0.0000 0.5000
Cu1 0.0000 0.5000 0.0000
F1 0.0023 0.5011 0.1216
F2 0.0722 0.5361 0.3164
```

Calculated values
For the total energy, the calculation gives -258.45 eV for the cell shown. Its density of states at the Fermi level is 12.11 states/eV per cell.

---

Entry 3:
A plane-wave DFT calculation with PBE was carried out for a geometry-optimized Li4CeCu3F12 structure.

Geometry as CIF:
```
data_Li4CeCu3F12
_chemical_formula_sum 'Li8 Ce2 Cu6 F24'
_symmetry_space_group_name_H-M 'I m -3'
_symmetry_Int_Tables_number 204
_symmetry_space_group_name_Hall '-I 2 2 3'
_cell_length_a 7.525
_cell_length_b 7.525
_cell_length_c 7.525
_cell_angle_alpha 90.00
_cell_angle_beta 90.00
_cell_angle_gamma 90.00
loop_
_atom_site_label
_atom_site_fract_x
_atom_site_fract_y
_atom_site_fract_z
Li1 0.250 0.250 0.250
Ce1 0.000 0.000 0.000
Cu1 0.000 0.000 0.500
F1 0.000 0.293 0.170
```

Calculated values
For the total energy, the calculation gives -198.41 eV for the cell shown. Its density of states at the Fermi level is 32.40 states/eV per cell.

---

Entry 4:
A plane-wave DFT calculation with PBE was carried out for a geometry-optimized Na2CeCuF8 structure.

Geometry as CIF:
```
data_Na2CeCuF8
_chemical_formula_sum 'Na2 Ce1 Cu1 F8'
_symmetry_space_group_name_H-M 'P -1'
_symmetry_Int_Tables_number 2
_cell_length_a 3.947
_cell_length_b 5.393
_cell_length_c 7.962
_cell_angle_alpha 85.61
_cell_angle_beta 89.55
_cell_angle_gamma 87.33
loop_
_symmetry_equiv_pos_as_xyz
'x,y,z'
'-x,-y,-z'
loop_
_atom_site_label
_atom_site_fract_x
_atom_site_fract_y
_atom_site_fract_z
Na1 0.012 0.034 0.219
Ce1 0.500 0.500 0.500
Cu1 0.500 0.500 0.000
F1 0.008 0.717 0.548
F2 0.142 0.737 0.029
F3 0.470 0.358 0.231
F4 0.477 0.173 0.674
```

Calculated values
For the total energy, the calculation gives -62.09 eV for the cell shown.

---

Entry 5:
A plane-wave DFT calculation with PBE was carried out for a geometry-optimized CeTlCuF6 structure.

Geometry as CIF:
```
data_CeTlCuF6
_chemical_formula_sum 'Ce2 Tl2 Cu2 F12'
_symmetry_space_group_name_H-M 'P -3 1 c'
_symmetry_Int_Tables_number 163
_symmetry_space_group_name_Hall '-P 3 2c'
_cell_length_a 5.8909
_cell_length_b 5.8909
_cell_length_c 11.7995
_cell_angle_alpha 90.00
_cell_angle_beta 90.00
_cell_angle_gamma 120.00
loop_
_atom_site_label
_atom_site_fract_x
_atom_site_fract_y
_atom_site_fract_z
Ce1 0.3333 0.6667 0.2500
Tl1 0.0000 0.0000 0.0000
Cu1 0.3333 0.6667 0.7500
F1 0.0070 0.3766 0.6495
```

Calculated values
For the total energy, the calculation gives -95.88 eV for the cell shown. Its density of states at the Fermi level is 20.45 states/eV per cell.

---

Entry 6:
A plane-wave DFT calculation with PBE was carried out for a geometry-optimized CeFe4Cu structure.

Geometry as CIF:
```
data_CeFe4Cu
_chemical_formula_sum 'Ce4 Fe16 Cu4'
_symmetry_space_group_name_H-M 'F -4 3 m'
_symmetry_Int_Tables_number 216
_symmetry_space_group_name_Hall 'F -4 2 3'
_cell_length_a 7.037
_cell_length_b 7.037
_cell_length_c 7.037
_cell_angle_alpha 90.00
_cell_angle_beta 90.00
_cell_angle_gamma 90.00
loop_
_atom_site_label
_atom_site_fract_x
_atom_site_fract_y
_atom_site_fract_z
Ce1 0.000 0.000 0.000
Fe1 0.124 0.124 0.376
Cu1 0.250 0.250 0.750
```

Calculated values
For the total energy, the calculation gives -173.54 eV for the cell shown. The value obtained for the formation energy from the elements is 0.082 eV/atom. Its density of states at the Fermi level is 25.64 states/eV per cell.

---

Entry 7:
A plane-wave DFT calculation with PBE was carried out for a geometry-optimized CeLuFeCu structure.

Geometry as CIF:
```
data_CeLuFeCu
_chemical_formula_sum 'Ce4 Lu4 Fe4 Cu4'
_symmetry_space_group_name_H-M 'F -4 3 m'
_symmetry_Int_Tables_number 216
_symmetry_space_group_name_Hall 'F -4 2 3'
_cell_length_a 6.787
_cell_length_b 6.787
_cell_length_c 6.787
_cell_angle_alpha 90.00
_cell_angle_beta 90.00
_cell_angle_gamma 90.00
loop_
_atom_site_label
_atom_site_fract_x
_atom_site_fract_y
_atom_site_fract_z
Ce1 0.000 0.000 0.000
Lu1 0.000 0.000 0.500
Fe1 0.250 0.250 0.250
Cu1 0.250 0.250 0.750
```

Calculated values
For the total energy, the calculation gives -92.61 eV for the cell shown. The value obtained for the formation energy from the elements is -0.035 eV/atom. Its density of states at the Fermi level is 20.28 states/eV per cell.

---

Entry 8:
A plane-wave DFT calculation with PBE was carried out for a geometry-optimized CePuFeCu structure.

Geometry as CIF:
```
data_CePuFeCu
_chemical_formula_sum 'Ce4 Pu4 Fe4 Cu4'
_symmetry_space_group_name_H-M 'F -4 3 m'
_symmetry_Int_Tables_number 216
_symmetry_space_group_name_Hall 'F -4 2 3'
_cell_length_a 6.827
_cell_length_b 6.827
_cell_length_c 6.827
_cell_angle_alpha 90.00
_cell_angle_beta 90.00
_cell_angle_gamma 90.00
loop_
_atom_site_label
_atom_site_fract_x
_atom_site_fract_y
_atom_site_fract_z
Ce1 0.000 0.000 0.000
Pu1 0.000 0.000 0.500
Fe1 0.250 0.250 0.750
Cu1 0.250 0.250 0.250
```

Calculated values
For the total energy, the calculation gives -129.95 eV for the cell shown. The value obtained for the formation energy from the elements is 0.084 eV/atom. Its density of states at the Fermi level is 42.83 states/eV per cell.

---

- Among the records above, which one has the lowest total energy?
  K2CeCu3F12

---

- The highest total energy belongs to which entry?
  Na2CeCuF8

---

- Which formula does entry 4 have?
  Na2CeCuF8